1.
Compound: LaNd3As4
Source: Alexandria via LeMat-Bulk
Functional: PBE
Structure: relaxed

The space group is Pm-3m (No. 221) and the conventional cell measures 6.0791, 6.0791 and 6.0791 Å, with angles of 90.00, 90.00 and 90.00 degrees. The inequivalent atoms are La at (0.0000, 0.0000, 0.0000), Nd at (0.0000, 0.5000, 0.5000), As at (0.0000, 0.0000, 0.5000) and As at (0.5000, 0.5000, 0.5000).

The energy relative to the elements comes out at -1.5270 eV/atom. The calculation puts the total energy at -6.26 eV/atom. As for the density of states at the Fermi level: 1.018 states/eV/f.u.

***

2.
Compound: La2NdAs
Source: Alexandria via LeMat-Bulk
Functional: PBE
Structure: relaxed

The space group is R-3m (No. 166, hexagonal axes) and the conventional cell measures 4.0591, 4.0591 and 29.3659 Å, with angles of 90.00, 90.00 and 120.00 degrees. The inequivalent atoms are La at (0.0000, 0.0000, 0.2296), Nd at (0.0000, 0.0000, 0.0000) and As at (0.0000, 0.0000, 0.5000).

As for the energy above the most stable polymorph in this dataset: 1.9 kJ/mol of atoms. The energy relative to the elements comes out at -0.6107 eV/atom. The calculation puts the total energy at -5.43 eV/atom. As for the density of states at the Fermi level: 5.274 states/eV/f.u.

***

3.
Compound: LaNd2NpAs4
Source: Alexandria via LeMat-Bulk
Functional: PBE
Structure: relaxed

The space group is P2/m (No. 10) and the conventional cell measures 7.3734, 4.2503 and 7.3781 Å, with angles of 90.00, 109.32 and 90.00 degrees. The inequivalent atoms are La at (0.0000, 0.0000, 0.0000), Nd at (0.5000, 0.0000, 0.5000), Nd at (0.5000, 0.5000, 0.0000), Np at (0.0000, 0.5000, 0.5000), As at (0.2428, 0.0000, 0.7396) and As at (0.2473, 0.5000, 0.2584).

The energy relative to the elements comes out at -1.2996 eV/atom. The calculation puts the total energy at -7.05 eV/atom. As for the density of states at the Fermi level: 12.045 states/eV/f.u.